Record 1
A relaxed structure of RbHgH2F8, computed with PBE-GGA.

Unit cell a=5.1050 b=4.9099 c=8.2329 alpha=78.22 beta=92.00 gamma=69.49
Closest atoms and distances in Å follow each position.
Element x y z (fractional)
Rb1 0.0000 0.0000 0.5000  8 F 2.92-3.01, 2 H 3.19
Hg1 0.0000 0.0000 0.0000  4 F 1.97-1.98
H1 0.4828 0.3155 0.6892  1 F 0.99
H2 0.5172 0.6845 0.3108  1 F 0.99
F1 0.2531 0.6913 0.2331  1 H 1.46
F2 0.7585 0.7670 0.9860  1 Hg 1.97
F3 0.7548 0.2142 0.1506  1 Hg 1.98
F4 0.7469 0.3087 0.7669  1 H 1.46
F5 0.2415 0.2330 0.0140  1 Hg 1.97
F6 0.2452 0.7858 0.8494  1 Hg 1.98
F7 0.6745 0.6625 0.3920  1 H 0.99
F8 0.3255 0.3375 0.6080  1 H 0.99

Values from the calculation:
Calculated total energy ... -3.27 eV per atom

Record 2
A relaxed structure of RbHg2HF8, computed with PBE-GGA.

Unit cell a=4.5467 b=6.1586 c=7.7732 alpha=69.05 beta=72.99 gamma=68.34
Closest atoms and distances in Å follow each position.
Element x y z (fractional)
Rb1 0.5000 0.5000 0.5000  10 F 2.91-3.09
Hg1 0.3206 0.2452 0.1135  1 F 2.09
Hg2 0.6794 0.7548 0.8865  1 F 2.09
H1 0.0000 0.0000 0.0000  4 F 1.58
F1 0.8228 0.7481 0.6064  1 Hg 2.09
F2 0.7521 0.3736 0.1221  3 Hg 2.38-2.40, 1 H 2.55
F3 0.1772 0.2519 0.3936  1 Hg 2.09
F4 0.2479 0.6264 0.8779  3 Hg 2.38-2.40, 1 H 2.55
F5 0.7704 0.8516 0.1460  1 H 1.58
F6 0.2296 0.1484 0.8540  1 H 1.58
F7 0.2320 0.8516 0.1460  1 H 1.58
F8 0.7680 0.1484 0.8540  1 H 1.58

Values from the calculation:
Calculated total energy ... -2.89 eV per atom

Record 3
A relaxed structure of RbHg2HF, computed with PBE-GGA.

Unit cell a=7.9867 b=7.9867 c=5.0572 alpha=90.00 beta=90.00 gamma=90.00
Closest atoms and distances in Å follow each position.
Element x y z (fractional)
H1 0.5000 0.5000 0.5000  8 Hg 4.73, 2 H 5.06
Hg1 0.0000 0.5000 0.0000  2 Rb 3.99
Hg2 0.5000 0.0000 0.0000  2 Rb 3.99
Rb1 0.0000 0.0000 0.0000  2 F 2.53
F1 0.0000 0.0000 0.5000  2 Rb 2.53

Values from the calculation:
Calculated total energy ... -1.75 eV per atom

> The highest calculated total energy belongs to which entry?

RbHg2HF